{"formula": "Mg4ZnIr2", "functional": "GGA-PBE", "state": "optimized geometry", "density_g_cm3": 6.65, "dft_energy_ev_per_atom": -3.49, "cell": [[-2.417, 2.417, 5.847], [2.417, -2.417, 5.847], [2.417, 2.417, -5.847]], "species": ["Mg", "Mg", "Mg", "Mg", "Zn", "Ir", "Ir"], "fractional_positions": [[0.000, 0.500, 0.500], [0.250, 0.750, 0.500], [0.500, 0.000, 0.500], [0.750, 0.250, 0.500], [0.000, 0.000, 0.000], [0.387, 0.387, 0.000], [0.613, 0.613, 0.000]]}

=====

{"formula": "Al2TcAs", "functional": "GGA-PBE", "state": "optimized geometry", "density_g_cm3": 5.93, "dft_energy_ev_per_atom": -5.53, "cell": [[3.052, 0.000, 0.000], [0.000, 4.645, 0.000], [-0.268, 0.000, 4.478]], "species": ["Al", "Al", "Tc", "As"], "fractional_positions": [[0.234, 0.000, 0.259], [0.766, 0.000, 0.741], [0.500, 0.500, 0.500], [0.000, 0.500, 0.000]]}

=====

{"formula": "Sc2BeP", "functional": "GGA-PBE", "state": "optimized geometry", "density_g_cm3": 3.29, "polymorph_energy_mev_per_atom": 0, "cell": [[3.547, 0.000, 0.000], [0.000, 1.909, 4.837], [0.000, -1.909, 4.837]], "species": ["Sc", "Sc", "Be", "P"], "fractional_positions": [[0.000, 0.000, 0.000], [0.500, 0.288, 0.288], [0.000, 0.712, 0.712], [0.500, 0.576, 0.576]]}